(1)
# InCuAsIr2, optimized geometry, DFT PBE
data_InCuAsIr2
_cell_length_a 4.905
_cell_length_b 4.599
_cell_length_c 4.905
_cell_angle_alpha 90.00
_cell_angle_beta 90.00
_cell_angle_gamma 90.00
_symmetry_space_group_name_H-M 'P 1'
_symmetry_Int_Tables_number 1
loop_
_symmetry_equiv_pos_as_xyz
'x,y,z'
loop_
_atom_site_label
_atom_site_type_symbol
_atom_site_fract_x
_atom_site_fract_y
_atom_site_fract_z
In1 In 0.000 0.000 0.000
Cu1 Cu 0.000 0.500 0.000
Ir1 Ir 0.000 0.000 0.500
Ir2 Ir 0.500 0.000 0.000
As1 As 0.500 0.500 0.500
# **DFT formation energy**: 1.625 eV/atom
# **Space group**: P4/mmm, No. 123



(2)
# Tl2CdNi2, optimized geometry, DFT PBE
data_Tl2CdNi2
_cell_length_a 4.307
_cell_length_b 4.307
_cell_length_c 6.390
_cell_angle_alpha 70.30
_cell_angle_beta 70.30
_cell_angle_gamma 90.00
_symmetry_space_group_name_H-M 'P 1'
_symmetry_Int_Tables_number 1
loop_
_symmetry_equiv_pos_as_xyz
'x,y,z'
loop_
_atom_site_label
_atom_site_type_symbol
_atom_site_fract_x
_atom_site_fract_y
_atom_site_fract_z
Ni1 Ni 0.398 0.398 0.204
Ni2 Ni 0.602 0.602 0.796
Cd1 Cd 0.000 0.000 0.000
Tl1 Tl 0.750 0.250 0.500
Tl2 Tl 0.250 0.750 0.500
# **DFT formation energy**: 0.439 eV/atom
# **Space group**: I4/mmm, No. 139



(3)
# Pr2Pu3Si4, optimized geometry, DFT PBE
data_Pr2Pu3Si4
_cell_length_a 7.437
_cell_length_b 7.771
_cell_length_c 7.755
_cell_angle_alpha 90.00
_cell_angle_beta 90.00
_cell_angle_gamma 107.76
_symmetry_space_group_name_H-M 'P 1'
_symmetry_Int_Tables_number 1
loop_
_symmetry_equiv_pos_as_xyz
'x,y,z'
loop_
_atom_site_label
_atom_site_type_symbol
_atom_site_fract_x
_atom_site_fract_y
_atom_site_fract_z
Si1 Si 0.378 0.489 0.389
Si2 Si 0.878 0.489 0.111
Si3 Si 0.873 0.070 0.528
Si4 Si 0.627 0.930 0.028
Si5 Si 0.373 0.070 0.972
Si6 Si 0.622 0.511 0.611
Si7 Si 0.122 0.511 0.889
Si8 Si 0.127 0.930 0.472
Pr1 Pr 0.072 0.190 0.175
Pr2 Pr 0.572 0.190 0.325
Pr3 Pr 0.428 0.810 0.675
Pr4 Pr 0.928 0.810 0.825
Pu1 Pu 0.747 0.254 0.808
Pu2 Pu 0.753 0.746 0.308
Pu3 Pu 0.000 0.500 0.500
Pu4 Pu 0.500 0.500 0.000
Pu5 Pu 0.247 0.254 0.692
Pu6 Pu 0.253 0.746 0.192
# **DFT total energy**: -0.6418 Ry per atom
# **Space group**: P2_1/c, No. 14



(4)
# ZrZnCl6, optimized geometry, DFT PBE
data_ZrZnCl6
_cell_length_a 6.360
_cell_length_b 6.360
_cell_length_c 6.776
_cell_angle_alpha 62.00
_cell_angle_beta 62.00
_cell_angle_gamma 60.00
_symmetry_space_group_name_H-M 'P 1'
_symmetry_Int_Tables_number 1
loop_
_symmetry_equiv_pos_as_xyz
'x,y,z'
loop_
_atom_site_label
_atom_site_type_symbol
_atom_site_fract_x
_atom_site_fract_y
_atom_site_fract_z
Cl1 Cl 0.606 0.250 0.250
Cl2 Cl 0.250 0.894 0.250
Cl3 Cl 0.750 0.106 0.750
Cl4 Cl 0.394 0.750 0.750
Cl5 Cl 0.894 0.606 0.250
Cl6 Cl 0.106 0.394 0.750
Zn1 Zn 0.500 0.500 0.500
Zr1 Zr 0.000 0.000 0.000
# **DFT total energy**: -0.2980 Ry per atom
# **Space group**: R-3, No. 148



(5)
# Tb2Ga3Ni4Sn, optimized geometry, DFT PBE
data_Tb2Ga3Ni4Sn
_cell_length_a 4.119
_cell_length_b 4.119
_cell_length_c 10.138
_cell_angle_alpha 90.00
_cell_angle_beta 90.00
_cell_angle_gamma 90.00
_symmetry_space_group_name_H-M 'P 1'
_symmetry_Int_Tables_number 1
loop_
_symmetry_equiv_pos_as_xyz
'x,y,z'
loop_
_atom_site_label
_atom_site_type_symbol
_atom_site_fract_x
_atom_site_fract_y
_atom_site_fract_z
Tb1 Tb 0.000 0.500 0.760
Tb2 Tb 0.500 0.000 0.240
Ni1 Ni 0.000 0.000 0.000
Ni2 Ni 0.500 0.000 0.646
Ni3 Ni 0.000 0.500 0.354
Ni4 Ni 0.500 0.500 0.000
Sn1 Sn 0.500 0.500 0.500
Ga1 Ga 0.500 0.000 0.878
Ga2 Ga 0.000 0.500 0.122
Ga3 Ga 0.000 0.000 0.500
# **DFT formation energy**: -0.549 eV/atom
# **Space group**: P-4m2, No. 115



(6)
# Rb3U2AgS9, optimized geometry, DFT PBE
data_Rb3U2AgS9
_cell_length_a 7.297
_cell_length_b 7.297
_cell_length_c 8.988
_cell_angle_alpha 90.00
_cell_angle_beta 90.00
_cell_angle_gamma 120.00
_symmetry_space_group_name_H-M 'P 1'
_symmetry_Int_Tables_number 1
loop_
_symmetry_equiv_pos_as_xyz
'x,y,z'
loop_
_atom_site_label
_atom_site_type_symbol
_atom_site_fract_x
_atom_site_fract_y
_atom_site_fract_z
S1 S 0.500 0.500 0.000
S2 S 0.169 0.831 0.322
S3 S 0.337 0.169 0.678
S4 S 0.169 0.337 0.322
S5 S 0.831 0.169 0.678
S6 S 0.663 0.831 0.322
S7 S 0.500 0.000 0.000
S8 S 0.831 0.663 0.678
S9 S 0.000 0.500 0.000
Rb1 Rb 0.000 0.000 0.000
Rb2 Rb 0.667 0.333 0.341
Rb3 Rb 0.333 0.667 0.659
U1 U 0.667 0.333 0.825
U2 U 0.333 0.667 0.175
Ag1 Ag 0.000 0.000 0.500
# **DFT total energy**: -0.3910 Ry per atom
# **Space group**: P-3m1, No. 164